# RbDyCr2O8

An optimized crystal structure of RbDyCr2O8 (PBE+U, the Alexandria database).

Lattice parameters (Å, degrees): 5.7957 5.7957 8.0415 90.00 90.00 120.00
Atoms (fractional coordinates):
1 Rb 0.0000 0.0000 0.0000
2 Dy 0.0000 0.0000 0.5000
3 Cr 0.6667 0.3333 0.2574
4 Cr 0.3333 0.6667 0.7426
5 O 0.3333 0.6667 0.9442
6 O 0.3505 0.1778 0.3257
7 O 0.8222 0.1727 0.3257
8 O 0.6667 0.3333 0.0558
9 O 0.1778 0.8273 0.6743
10 O 0.6495 0.8222 0.6743
11 O 0.1727 0.3505 0.6743
12 O 0.8273 0.6495 0.3257

DOS(E_F) = 0.0 states/eV/f.u.
raw total energy = -6.9260 eV/atom